DFT (GGA+U) results for Ba3DyFe2O6 after structural relaxation.

a b c (Å): 6.214 6.214 7.112
angles (deg): 90.00 90.00 120.00
Fractional coordinates of all 12 atoms:
Ba 0.000 0.000 0.000
Ba 0.333 0.667 0.648
Ba 0.667 0.333 0.352
Dy 0.000 0.000 0.500
Fe 0.333 0.667 0.212
Fe 0.667 0.333 0.788
O 0.166 0.332 0.307
O 0.166 0.834 0.307
O 0.332 0.166 0.693
O 0.668 0.834 0.307
O 0.834 0.166 0.693
O 0.834 0.668 0.693

Summary:
As for the total energy: -6.50 eV/atom.